Record 1
# Ca2ZrIn

A relaxed structure of Ca2ZrIn (PBE-GGA, the Alexandria database).

Calculated values
The value obtained for the energy of formation is 0.031 eV/atom. The calculation puts the total moment at 0.000 μB per formula unit. The value obtained for the theoretical density is 4.21 g/cm³. The calculation puts the electronic total energy at -3.7910 eV/atom.

a = 3.4231 Å, b = 5.0526 Å, c = 6.5259 Å
α = 90.00°, β = 90.33°, γ = 90.00°
Space group P2/m (No. 10)
Unique sites:
Ca (0.0022, 0.0000, 0.2521) x2
Zr (0.5000, 0.5000, 0.0000) x1
In (0.5000, 0.5000, 0.5000) x1

=====

Record 2
# Ca2ZrIn

A relaxed structure of Ca2ZrIn (PBE-GGA, the Alexandria database).

Calculated values
The value obtained for the energy of formation is 0.024 eV/atom. The calculation puts the total moment at 0.000 μB per formula unit. The value obtained for the theoretical density is 4.03 g/cm³. The calculation puts the electronic total energy at -3.7980 eV/atom.

a = 12.8533 Å, b = 3.6923 Å, c = 5.4908 Å
α = 90.00°, β = 115.23°, γ = 90.00°
Space group Cm (No. 8)
Unique sites:
Ca (0.0000, 0.0000, 0.0000) x2
Ca (0.2137, 0.0000, 0.7120) x2
Zr (0.2769, 0.5000, 0.2751) x2
In (0.4790, 0.0000, 0.4797) x2

=====

Record 3
# CaZrIn

A relaxed structure of CaZrIn (PBE-GGA, the Alexandria database).

Calculated values
The value obtained for the energy of formation is 0.246 eV/atom. The calculation puts the energy above the lowest structure with this stoichiometry at 0.427 eV/atom. The calculation puts the total moment at 0.417 μB per formula unit. The value obtained for the theoretical density is 4.45 g/cm³. The calculation puts the electronic total energy at -4.1832 eV/atom.

a = 7.1603 Å, b = 7.1603 Å, c = 7.1603 Å
α = 90.00°, β = 90.00°, γ = 90.00°
Space group F-43m (No. 216)
Unique sites:
Ca (0.0000, 0.0000, 0.0000) x4
Zr (0.0000, 0.0000, 0.5000) x4
In (0.2500, 0.2500, 0.7500) x4

=====

Record 4
# Ca2ZrIn

A relaxed structure of Ca2ZrIn (PBE-GGA, the Alexandria database).

Calculated values
The value obtained for the energy of formation is 0.083 eV/atom. The calculation puts the total moment at 1.099 μB per formula unit. The value obtained for the theoretical density is 4.26 g/cm³. The calculation puts the electronic total energy at -3.7390 eV/atom.

a = 4.9690 Å, b = 4.9690 Å, c = 9.0343 Å
α = 90.00°, β = 90.00°, γ = 90.00°
Space group I-4m2 (No. 119)
Unique sites:
Ca (0.0000, 0.0000, 0.0000) x2
Ca (0.0000, 0.5000, 0.2500) x2
Zr (0.0000, 0.0000, 0.5000) x2
In (0.0000, 0.5000, 0.7500) x2

=====

Record 5
# Ca2ZrIn

A relaxed structure of Ca2ZrIn (PBE-GGA, the Alexandria database).

Calculated values
The value obtained for the energy of formation is 0.158 eV/atom. The calculation puts the total moment at 2.411 μB per formula unit. The value obtained for the theoretical density is 4.07 g/cm³. The calculation puts the electronic total energy at -3.6641 eV/atom.

a = 5.5178 Å, b = 5.5178 Å, c = 3.8308 Å
α = 90.00°, β = 90.00°, γ = 90.00°
Space group P4/mmm (No. 123)
Unique sites:
Ca (0.0000, 0.5000, 0.0000) x2
Zr (0.0000, 0.0000, 0.5000) x1
In (0.5000, 0.5000, 0.5000) x1

=====

Record 6
# Ca2ZrIn

A relaxed structure of Ca2ZrIn (PBE-GGA, the Alexandria database).

Calculated values
The value obtained for the energy of formation is 0.068 eV/atom. The calculation puts the total moment at 0.000 μB per formula unit. The value obtained for the theoretical density is 4.24 g/cm³. The calculation puts the electronic total energy at -3.7542 eV/atom.

a = 3.7760 Å, b = 5.3008 Å, c = 11.2111 Å
α = 90.00°, β = 90.00°, γ = 90.00°
Space group Immm (No. 71)
Unique sites:
Ca (0.0000, 0.0000, 0.2363) x4
Zr (0.0000, 0.5000, 0.0000) x2
In (0.0000, 0.5000, 0.5000) x2

=====

Record 7
# Ca2ZrIn

A relaxed structure of Ca2ZrIn (PBE-GGA, the Alexandria database).

Calculated values
The value obtained for the energy of formation is 0.084 eV/atom. The calculation puts the total moment at 0.786 μB per formula unit. The value obtained for the theoretical density is 4.14 g/cm³. The calculation puts the electronic total energy at -3.7382 eV/atom.

a = 6.5737 Å, b = 10.3900 Å, c = 3.3609 Å
α = 90.00°, β = 90.00°, γ = 90.00°
Space group Cmmm (No. 65)
Unique sites:
Ca (0.2500, 0.2500, 0.0000) x4
Zr (0.0000, 0.0000, 0.5000) x2
In (0.0000, 0.5000, 0.5000) x2

=====

Record 8
# CaZrIn

A relaxed structure of CaZrIn (PBE-GGA, the Alexandria database).

Calculated values
The value obtained for the energy of formation is -0.180 eV/atom. The calculation puts the energy above the lowest structure with this stoichiometry at 0.000 eV/atom. The calculation puts the total moment at 0.000 μB per formula unit. The value obtained for the theoretical density is 4.72 g/cm³. The calculation puts the electronic total energy at -4.6098 eV/atom.

a = 3.6250 Å, b = 3.6250 Å, c = 26.3641 Å
α = 90.00°, β = 90.00°, γ = 90.00°
Space group I4/mmm (No. 139)
Unique sites:
Ca (0.0000, 0.0000, 0.0715) x4
Zr (0.0000, 0.0000, 0.2172) x4
In (0.0000, 0.0000, 0.3493) x4

=====

Record 9
# CaZrIn

A relaxed structure of CaZrIn (PBE-GGA, the Alexandria database).

Calculated values
The value obtained for the energy of formation is -0.001 eV/atom. The calculation puts the energy above the lowest structure with this stoichiometry at 0.179 eV/atom. The calculation puts the total moment at 0.000 μB per formula unit. The value obtained for the theoretical density is 5.05 g/cm³. The calculation puts the electronic total energy at -4.4305 eV/atom.

a = 3.2262 Å, b = 4.3269 Å, c = 11.5899 Å
α = 90.00°, β = 90.00°, γ = 90.00°
Space group Imm2 (No. 44)
Unique sites:
Ca (0.0000, 0.0000, 0.0000) x2
Zr (0.0000, 0.0000, 0.7027) x2
In (0.0000, 0.0000, 0.3285) x2

=====

Record 10
# CaZr3In

A relaxed structure of CaZr3In (PBE-GGA, the Alexandria database).

Calculated values
The value obtained for the energy of formation is 1.417 eV/atom. The calculation puts the energy above the lowest structure with this stoichiometry at 0.578 eV/atom. The calculation puts the total moment at 0.000 μB per formula unit. The value obtained for the theoretical density is 5.39 g/cm³. The calculation puts the electronic total energy at -4.6598 eV/atom.

a = 5.0932 Å, b = 5.0932 Å, c = 5.0932 Å
α = 90.00°, β = 90.00°, γ = 90.00°
Space group Pm-3m (No. 221)
Unique sites:
Ca (0.0000, 0.0000, 0.0000) x1
Zr (0.0000, 0.0000, 0.5000) x3
In (0.5000, 0.5000, 0.5000) x1

=====

Record 11
# CaZr3In

A relaxed structure of CaZr3In (PBE-GGA, the Alexandria database).

Calculated values
The value obtained for the energy of formation is 0.839 eV/atom. The calculation puts the energy above the lowest structure with this stoichiometry at 0.000 eV/atom. The calculation puts the total moment at 0.680 μB per formula unit. The value obtained for the theoretical density is 4.48 g/cm³. The calculation puts the electronic total energy at -5.2375 eV/atom.

a = 5.4148 Å, b = 5.4148 Å, c = 5.4148 Å
α = 90.00°, β = 90.00°, γ = 90.00°
Space group Pm-3m (No. 221)
Unique sites:
Ca (0.0000, 0.0000, 0.0000) x1
Zr (0.0000, 0.5000, 0.5000) x3
In (0.5000, 0.5000, 0.5000) x1

=====

Record 12
# Ca2ZrIn

A relaxed structure of Ca2ZrIn (PBE-GGA, the Alexandria database).

Calculated values
The value obtained for the energy of formation is 0.017 eV/atom. The calculation puts the total moment at 0.923 μB per formula unit. The value obtained for the theoretical density is 4.28 g/cm³. The calculation puts the electronic total energy at -3.8057 eV/atom.

a = 4.6833 Å, b = 4.6833 Å, c = 5.0642 Å
α = 90.00°, β = 90.00°, γ = 90.00°
Space group P4/mmm (No. 123)
Unique sites:
Ca (0.0000, 0.5000, 0.0000) x2
Zr (0.0000, 0.0000, 0.5000) x1
In (0.5000, 0.5000, 0.5000) x1

=====

Q: Among the records above, which one has the highest electronic total energy?
A: number 5